An optimized crystal structure of Cu2TeBr. Source: Alexandria via LeMat-Bulk, functional GGA-PBE.

Cell and atoms, written as CIF:
```
data_Cu2TeBr
_chemical_formula_sum 'Cu2 Te1 Br1'
_symmetry_space_group_name_H-M 'P m m m'
_symmetry_Int_Tables_number 47
_cell_length_a 3.4243
_cell_length_b 3.8311
_cell_length_c 6.5564
_cell_angle_alpha 90.00
_cell_angle_beta 90.00
_cell_angle_gamma 90.00
loop_
_symmetry_equiv_pos_as_xyz
'x,y,z'
'-x,-y,-z'
'-x,-y,z'
'x,y,-z'
'x,-y,-z'
'-x,y,z'
'-x,y,-z'
'x,-y,z'
loop_
_atom_site_label
_atom_site_type_symbol
_atom_site_fract_x
_atom_site_fract_y
_atom_site_fract_z
Cu1 Cu 0.0000 0.0000 0.1914
Te1 Te 0.5000 0.5000 0.0000
Br1 Br 0.5000 0.0000 0.5000
```

Calculated density = 6.5 g cm⁻³
Excess energy over the best structure of this formula in the dataset = 210.5 meV/atom
Uncorrected formation energy = 0.045 eV/atom
E = -3.206 eV/atom
V = 21.503 Å³ per atom